DFT (GGA-PBE) results for crystalline Pm6HRh2 at its relaxed geometry.

The calculation puts the energy above the most stable polymorph in this dataset at 125 meV/atom. The space group is C2/m.

Lattice parameters (Å, degrees): 3.716 6.675 10.787 74.75 80.08 73.84
Sites, in units of the cell vectors:
1 Rh 0.675 0.955 0.695
2 Rh 0.325 0.045 0.305
3 Pm 0.016 0.734 0.234
4 Pm 0.809 0.273 0.108
5 Pm 0.984 0.266 0.766
6 Pm 0.351 0.748 0.550
7 Pm 0.191 0.727 0.892
8 Pm 0.649 0.252 0.450
9 H 0.000 0.000 0.000

DFT (GGA-PBE) results for crystalline SrCr2Ir at its relaxed geometry.

The calculation puts the energy above the most stable polymorph in this dataset at 105 meV/atom. For the formation energy from the elements, the calculation gives 0.496 eV/atom. The space group is Imm2.

Lattice parameters (Å, degrees): 6.034 6.034 6.034 141.05 139.12 57.74
Last column: magnetic moment on the atom in μB.
Sites, in units of the cell vectors:
1 Cr 0.969 0.969 0.000  3.19
2 Cr 0.358 0.858 0.500  -2.02
3 Ir 0.465 0.465 0.000  0.06
4 Sr 0.708 0.208 0.500  -0.01